CaLu2Os | GGA-PBE | relaxed

```
data_CaLu2Os
_chemical_formula_sum 'Ca1 Lu2 Os1'
_space_group_name_H-M_alt 'P 1'
_space_group_IT_number 1
_cell_length_a 3.382
_cell_length_b 3.382
_cell_length_c 9.386
_cell_angle_alpha 90.00
_cell_angle_beta 90.00
_cell_angle_gamma 90.00
loop_
_space_group_symop_operation_xyz
'x,y,z'
loop_
_atom_site_label
_atom_site_fract_x
_atom_site_fract_y
_atom_site_fract_z
Ca1 0.000 0.000 0.000
Lu1 0.500 0.500 0.330
Lu2 0.500 0.500 0.670
Os1 0.000 0.000 0.500
```

Properties
The total magnetization comes out at 0.00 μB per cell. For the final energy, the calculation gives -5.785 eV per atom. The value obtained for the energy of formation is -216 meV per atom.